! KTeS2 PBE optimized geometry; values from VASP
&SYSTEM
  ibrav = 0, nat = 4, ntyp = 3
/
ATOMIC_SPECIES
K 39.10 K.upf
Te 127.60 Te.upf
S 32.06 S.upf
ATOMIC_POSITIONS crystal
K 0.000 0.000 0.000
Te 0.830 0.830 0.830
S 0.226 0.226 0.226
S 0.434 0.434 0.434
CELL_PARAMETERS angstrom
2.138 1.234 7.095
-2.138 1.234 7.095
0.000 -2.469 7.095
! Formation energy (no corrections): -0.34 eV per atom
! Calculated volume: 28.1 Å³ per atom